DFT (PBE) results for a relaxed structure of Ho2Pd4Pb.

Computed properties:
total moment: 0.00 μB per formula unit
VASP energy: -4.87 eV per atom

Lattice parameters (Å, degrees): 5.0083 5.0083 7.9781 108.29 108.29 90.00
Element x y z (fractional)
Ho 0.6283 0.6283 0.2567
Ho 0.3717 0.3717 0.7433
Pd 0.8081 0.8081 0.6163
Pd 0.1919 0.1919 0.3837
Pd 0.0000 0.5000 0.0000
Pd 0.5000 0.0000 0.0000
Pb 0.0000 0.0000 0.0000